No. 1
Compound: ZrAgRh3
Source: Alexandria via LeMat-Bulk
Functional: PBE
Structure: relaxed

Cell and atoms, written as POSCAR:
```
ZrAgRh3
1.0
4.785 0.000 0.000
0.000 4.785 0.000
0.000 0.000 4.785
Zr Ag Rh
1 1 3
Direct
0.000 0.000 0.000
0.500 0.500 0.500
0.000 0.000 0.500
0.000 0.500 0.000
0.500 0.000 0.000
```

## Properties
Calculated formation energy in eV/atom: 0.891
Density of states at the Fermi level in states/eV/cell: 4.3
SG: Pm-3m (221)

=====

No. 2
Compound: ZrAg2Rh
Source: Alexandria via LeMat-Bulk
Functional: PBE
Structure: relaxed

Cell and atoms, written as POSCAR:
```
ZrAg2Rh
1.0
-2.073 2.073 4.063
2.073 -2.073 4.063
2.073 2.073 -4.063
Zr Ag Rh
1 2 1
Direct
0.000 0.000 0.000
0.500 0.500 0.000
0.750 0.250 0.500
0.250 0.750 0.500
```

## Properties
Distance to the lowest polymorph of the same formula in meV/atom: 86.6
Calculated formation energy in eV/atom: -0.229
Density of states at the Fermi level in states/eV/cell: 2.6
SG: I-4m2 (119)

=====

No. 3
Compound: Zr2AgRh2
Source: Alexandria via LeMat-Bulk
Functional: PBE
Structure: relaxed

Cell and atoms, written as POSCAR:
```
Zr2AgRh2
1.0
7.541 0.000 0.000
0.000 7.541 0.000
0.000 0.000 3.265
Zr Ag Rh
4 2 4
Direct
0.163 0.337 0.000
0.337 0.837 0.000
0.663 0.163 0.000
0.837 0.663 0.000
0.000 0.000 0.500
0.500 0.500 0.500
0.136 0.636 0.500
0.364 0.136 0.500
0.636 0.864 0.500
0.864 0.364 0.500
```

## Properties
Distance to the lowest polymorph of the same formula in meV/atom: 0.0
Calculated formation energy in eV/atom: -0.567
Density of states at the Fermi level in states/eV/cell: 9.9
SG: P4/mbm (127)

=====

No. 4
Compound: ZrAg2Rh
Source: Alexandria via LeMat-Bulk
Functional: PBE
Structure: relaxed

Cell and atoms, written as POSCAR:
```
ZrAg2Rh
1.0
3.717 0.000 0.000
0.000 3.988 0.000
0.000 0.000 4.794
Zr Ag Rh
1 2 1
Direct
0.000 0.000 0.000
0.000 0.500 0.500
0.500 0.000 0.500
0.500 0.500 0.000
```

## Properties
Distance to the lowest polymorph of the same formula in meV/atom: 133.0
Calculated formation energy in eV/atom: -0.183
Density of states at the Fermi level in states/eV/cell: 3.4
SG: Pmmm (47)